VASP calculation (PBE) on a geometry-optimized SbIr3O structure.

Cell: 4.265 4.265 4.265 Å, 90.00 90.00 90.00°
Fractional coordinates of all 5 atoms:
1 Sb 0.500 0.500 0.500
2 Ir 0.000 0.500 0.000
3 Ir 0.000 0.000 0.500
4 Ir 0.500 0.000 0.000
5 O 0.000 0.000 0.000

Summary:
The offset from the most stable computed form comes out at 0 meV per atom. As for the total energy: -6.3226 eV/atom. Its uncorrected formation energy is 0.810 eV per atom. The space-group type is Pm-3m (221).